A plane-wave DFT calculation with PBE-GGA was carried out for crystalline CePmBiSe at its relaxed geometry.

Properties
As for the space group: No. 160. The value obtained for the uncorrected formation energy is -1.25 eV per atom.

Geometry as POSCAR:
```
CePmBiSe
1.0
4.297 0.000 0.000
-2.148 3.721 0.000
0.000 0.000 22.793
Ce Pm Bi Se
3 3 3 3
direct
0.000 0.000 0.000
0.333 0.667 0.667
0.667 0.333 0.333
0.000 0.000 0.816
0.333 0.667 0.483
0.667 0.333 0.149
0.000 0.000 0.241
0.333 0.667 0.907
0.667 0.333 0.574
0.000 0.000 0.411
0.333 0.667 0.078
0.667 0.333 0.744
```